(1)
# Hf2AlF2 (PBE, relaxed)
data_Hf2AlF2
_cell_length_a 2.911
_cell_length_b 12.884
_cell_length_c 8.273
_cell_angle_alpha 90.00
_cell_angle_beta 90.00
_cell_angle_gamma 90.00
_symmetry_space_group_name_H-M 'C m c m'
_symmetry_Int_Tables_number 63
_symmetry_space_group_name_Hall '-C 2c 2'
loop_
_atom_site_label
_atom_site_fract_x
_atom_site_fract_y
_atom_site_fract_z
_atom_site_occupancy
Hf1 0.000 0.117 0.033 1
Al1 0.000 0.476 0.250 1
F1 0.000 0.262 0.610 1
# - E_tot: -7.11 eV per atom

***

(2)
# Lu2Hf4In3N3 (PBE, relaxed)
data_Lu2Hf4In3N3
_cell_length_a 9.983
_cell_length_b 5.767
_cell_length_c 15.082
_cell_angle_alpha 90.00
_cell_angle_beta 102.81
_cell_angle_gamma 90.00
_symmetry_space_group_name_H-M 'C 1 2/c 1'
_symmetry_Int_Tables_number 15
loop_
_symmetry_equiv_pos_as_xyz
'x,y,z'
'-x,-y,-z'
'-x,y,-z+1/2'
'x,-y,z+1/2'
'x+1/2,y+1/2,z'
'-x+1/2,-y+1/2,-z'
'-x+1/2,y+1/2,-z+1/2'
'x+1/2,-y+1/2,z+1/2'
loop_
_atom_site_label
_atom_site_fract_x
_atom_site_fract_y
_atom_site_fract_z
_atom_site_occupancy
Lu1 0.051 0.081 0.410 1
Hf1 0.110 0.413 0.580 1
Hf2 0.225 0.419 0.920 1
In1 0.000 0.444 0.250 1
In2 0.181 0.099 0.751 1
N1 0.085 0.255 0.000 1
N2 0.250 0.250 0.500 1
# - E_tot: -7.91 eV per atom

***

(3)
# Lu4W2S3N3 (PBE, relaxed)
data_Lu4W2S3N3
_cell_length_a 10.060
_cell_length_b 5.879
_cell_length_c 12.361
_cell_angle_alpha 90.00
_cell_angle_beta 104.73
_cell_angle_gamma 90.00
_symmetry_space_group_name_H-M 'C 1 2/c 1'
_symmetry_Int_Tables_number 15
loop_
_symmetry_equiv_pos_as_xyz
'x,y,z'
'-x,-y,-z'
'-x,y,-z+1/2'
'x,-y,z+1/2'
'x+1/2,y+1/2,z'
'-x+1/2,-y+1/2,-z'
'-x+1/2,y+1/2,-z+1/2'
'x+1/2,-y+1/2,z+1/2'
loop_
_atom_site_label
_atom_site_fract_x
_atom_site_fract_y
_atom_site_fract_z
_atom_site_occupancy
Lu1 0.117 0.091 0.103 1
Lu2 0.222 0.077 0.397 1
W1 0.040 0.435 0.904 1
S1 0.000 0.120 0.750 1
S2 0.151 0.427 0.254 1
N1 0.086 0.237 0.500 1
N2 0.250 0.250 0.000 1
# - E_tot: -8.00 eV per atom

***

(4)
# Lu4CuSiC2 (PBE, relaxed)
data_Lu4CuSiC2
_cell_length_a 3.5211
_cell_length_b 3.5211
_cell_length_c 13.7950
_cell_angle_alpha 90.00
_cell_angle_beta 90.00
_cell_angle_gamma 120.00
_symmetry_space_group_name_H-M 'P -6 m 2'
_symmetry_Int_Tables_number 187
_symmetry_space_group_name_Hall 'P -6 2'
loop_
_atom_site_label
_atom_site_fract_x
_atom_site_fract_y
_atom_site_fract_z
_atom_site_occupancy
Lu1 0.0000 0.0000 0.1530 1
Lu2 0.6667 0.3333 0.3418 1
Cu1 0.6667 0.3333 0.0000 1
Si1 0.0000 0.0000 0.5000 1
C1 0.3333 0.6667 0.2428 1
# - E_tot: -6.06 eV per atom

***

(5)
# LiSmSnPd (PBE, relaxed)
data_LiSmSnPd
_cell_length_a 6.824
_cell_length_b 6.824
_cell_length_c 6.824
_cell_angle_alpha 90.00
_cell_angle_beta 90.00
_cell_angle_gamma 90.00
_symmetry_space_group_name_H-M 'F -4 3 m'
_symmetry_Int_Tables_number 216
_symmetry_space_group_name_Hall 'F -4 2 3'
loop_
_atom_site_label
_atom_site_fract_x
_atom_site_fract_y
_atom_site_fract_z
_atom_site_occupancy
Li1 0.000 0.000 0.000 1
Sm1 0.250 0.250 0.250 1
Sn1 0.250 0.250 0.750 1
Pd1 0.000 0.000 0.500 1
# - E_tot: -4.75 eV per atom

***

(6)
# CdGaMo2 (PBE, relaxed)
data_CdGaMo2
_cell_length_a 6.428
_cell_length_b 6.428
_cell_length_c 6.428
_cell_angle_alpha 90.00
_cell_angle_beta 90.00
_cell_angle_gamma 90.00
_symmetry_space_group_name_H-M 'F -4 3 m'
_symmetry_Int_Tables_number 216
_symmetry_space_group_name_Hall 'F -4 2 3'
loop_
_atom_site_label
_atom_site_fract_x
_atom_site_fract_y
_atom_site_fract_z
_atom_site_occupancy
Cd1 0.000 0.000 0.000 1
Ga1 0.250 0.250 0.750 1
Mo1 0.000 0.000 0.500 1
Mo2 0.250 0.250 0.250 1
# - E_tot: -6.04 eV per atom

***

(7)
# AcTbAsO (PBE, relaxed)
data_AcTbAsO
_cell_length_a 4.551
_cell_length_b 4.551
_cell_length_c 9.441
_cell_angle_alpha 90.00
_cell_angle_beta 90.00
_cell_angle_gamma 90.00
_symmetry_space_group_name_H-M 'P 4/n m m'
_symmetry_Int_Tables_number 129
loop_
_symmetry_equiv_pos_as_xyz
'x,y,z'
'-x,-y,-z'
'-y+1/2,x,z'
'y+1/2,-x,-z'
'-x+1/2,-y+1/2,z'
'x+1/2,y+1/2,-z'
'y,-x+1/2,z'
'-y,x+1/2,-z'
'x+1/2,-y,-z'
'-x+1/2,y,z'
'-y,-x,-z'
'y,x,z'
'-x,y+1/2,-z'
'x,-y+1/2,z'
'y+1/2,x+1/2,-z'
'-y+1/2,-x+1/2,z'
loop_
_atom_site_label
_atom_site_fract_x
_atom_site_fract_y
_atom_site_fract_z
_atom_site_occupancy
Ac1 0.250 0.250 0.117 1
Tb1 0.250 0.750 0.500 1
As1 0.250 0.250 0.685 1
O1 0.250 0.750 0.000 1
# - E above lowest polymorph: 31 meV per atom

***

(8)
# BaTmAu (PBE, relaxed)
data_BaTmAu
_cell_length_a 7.423
_cell_length_b 7.423
_cell_length_c 7.423
_cell_angle_alpha 90.00
_cell_angle_beta 90.00
_cell_angle_gamma 90.00
_symmetry_space_group_name_H-M 'F -4 3 m'
_symmetry_Int_Tables_number 216
_symmetry_space_group_name_Hall 'F -4 2 3'
loop_
_atom_site_label
_atom_site_fract_x
_atom_site_fract_y
_atom_site_fract_z
_atom_site_occupancy
Ba1 0.000 0.000 0.000 1
Tm1 0.250 0.250 0.250 1
Au1 0.250 0.250 0.750 1
# - E above lowest polymorph: 338 meV per atom

***

(9)
# La2As2IrOsO2 (PBE, relaxed)
data_La2As2IrOsO2
_cell_length_a 4.135
_cell_length_b 4.135
_cell_length_c 8.487
_cell_angle_alpha 90.00
_cell_angle_beta 90.00
_cell_angle_gamma 90.00
_symmetry_space_group_name_H-M 'P -4 m 2'
_symmetry_Int_Tables_number 115
loop_
_symmetry_equiv_pos_as_xyz
'x,y,z'
'y,-x,-z'
'-x,-y,z'
'-y,x,-z'
'-x,y,z'
'-y,-x,-z'
'x,-y,z'
'y,x,-z'
loop_
_atom_site_label
_atom_site_fract_x
_atom_site_fract_y
_atom_site_fract_z
_atom_site_occupancy
La1 0.000 0.500 0.140 1
As1 0.000 0.500 0.658 1
Ir1 0.000 0.000 0.500 1
Os1 0.500 0.500 0.500 1
O1 0.000 0.000 0.000 1
O2 0.500 0.500 0.000 1
# - E_tot: -7.98 eV per atom

***

(10)
# HoHf (PBE, relaxed)
data_HoHf
_cell_length_a 6.095
_cell_length_b 6.095
_cell_length_c 6.095
_cell_angle_alpha 90.00
_cell_angle_beta 90.00
_cell_angle_gamma 90.00
_symmetry_space_group_name_H-M 'F m -3 m'
_symmetry_Int_Tables_number 225
_symmetry_space_group_name_Hall '-F 4 2 3'
loop_
_atom_site_label
_atom_site_fract_x
_atom_site_fract_y
_atom_site_fract_z
_atom_site_occupancy
Ho1 0.000 0.000 0.000 1
Hf1 0.000 0.000 0.500 1
# - E above lowest polymorph: 1011 meV per atom

***

(11)
# LiZn2Au (PBE, relaxed)
data_LiZn2Au
_cell_length_a 3.858
_cell_length_b 3.858
_cell_length_c 4.016
_cell_angle_alpha 90.00
_cell_angle_beta 90.00
_cell_angle_gamma 90.00
_symmetry_space_group_name_H-M 'P 4/m m m'
_symmetry_Int_Tables_number 123
_symmetry_space_group_name_Hall '-P 4 2'
loop_
_atom_site_label
_atom_site_fract_x
_atom_site_fract_y
_atom_site_fract_z
_atom_site_occupancy
Li1 0.000 0.000 0.000 1
Zn1 0.000 0.500 0.500 1
Au1 0.500 0.500 0.000 1
# - E above lowest polymorph: 40 meV per atom

***

(12)
# ZrZnCuW (PBE, relaxed)
data_ZrZnCuW
_cell_length_a 6.425
_cell_length_b 6.425
_cell_length_c 6.425
_cell_angle_alpha 90.00
_cell_angle_beta 90.00
_cell_angle_gamma 90.00
_symmetry_space_group_name_H-M 'F -4 3 m'
_symmetry_Int_Tables_number 216
_symmetry_space_group_name_Hall 'F -4 2 3'
loop_
_atom_site_label
_atom_site_fract_x
_atom_site_fract_y
_atom_site_fract_z
_atom_site_occupancy
Zr1 0.000 0.000 0.000 1
Zn1 0.000 0.000 0.500 1
Cu1 0.250 0.250 0.750 1
W1 0.250 0.250 0.250 1
# - E above lowest polymorph: 0 meV per atom

***

(13)
# Zr4CdGeC2 (PBE, relaxed)
data_Zr4CdGeC2
_cell_length_a 3.3453
_cell_length_b 3.3453
_cell_length_c 14.5429
_cell_angle_alpha 90.00
_cell_angle_beta 90.00
_cell_angle_gamma 120.00
_symmetry_space_group_name_H-M 'P -6 m 2'
_symmetry_Int_Tables_number 187
_symmetry_space_group_name_Hall 'P -6 2'
loop_
_atom_site_label
_atom_site_fract_x
_atom_site_fract_y
_atom_site_fract_z
_atom_site_occupancy
Zr1 0.0000 0.0000 0.1511 1
Zr2 0.6667 0.3333 0.3248 1
Cd1 0.0000 0.0000 0.5000 1
Ge1 0.6667 0.3333 0.0000 1
C1 0.3333 0.6667 0.2392 1
# - E_tot: -7.94 eV per atom

***

(14)
# BeSiGeOs (PBE, relaxed)
data_BeSiGeOs
_cell_length_a 5.959
_cell_length_b 5.959
_cell_length_c 5.959
_cell_angle_alpha 90.00
_cell_angle_beta 90.00
_cell_angle_gamma 90.00
_symmetry_space_group_name_H-M 'F -4 3 m'
_symmetry_Int_Tables_number 216
_symmetry_space_group_name_Hall 'F -4 2 3'
loop_
_atom_site_label
_atom_site_fract_x
_atom_site_fract_y
_atom_site_fract_z
_atom_site_occupancy
Be1 0.000 0.000 0.000 1
Si1 0.250 0.250 0.250 1
Ge1 0.000 0.000 0.500 1
Os1 0.250 0.250 0.750 1
# - E above lowest polymorph: 212 meV per atom

***

(15)
# ReTcB4 (PBE, relaxed)
data_ReTcB4
_cell_length_a 2.9544
_cell_length_b 2.9544
_cell_length_c 6.9079
_cell_angle_alpha 90.00
_cell_angle_beta 90.00
_cell_angle_gamma 120.00
_symmetry_space_group_name_H-M 'P 6/m m m'
_symmetry_Int_Tables_number 191
_symmetry_space_group_name_Hall '-P 6 2'
loop_
_atom_site_label
_atom_site_fract_x
_atom_site_fract_y
_atom_site_fract_z
_atom_site_occupancy
Re1 0.0000 0.0000 0.0000 1
Tc1 0.0000 0.0000 0.5000 1
B1 0.3333 0.6667 0.2497 1
# - E above lowest polymorph: 509 meV per atom

***

(16)
# PaPdPt4 (PBE, relaxed)
data_PaPdPt4
_cell_length_a 7.525
_cell_length_b 7.525
_cell_length_c 7.525
_cell_angle_alpha 90.00
_cell_angle_beta 90.00
_cell_angle_gamma 90.00
_symmetry_space_group_name_H-M 'F -4 3 m'
_symmetry_Int_Tables_number 216
_symmetry_space_group_name_Hall 'F -4 2 3'
loop_
_atom_site_label
_atom_site_fract_x
_atom_site_fract_y
_atom_site_fract_z
_atom_site_occupancy
Pa1 0.000 0.000 0.000 1
Pd1 0.250 0.250 0.250 1
Pt1 0.125 0.125 0.625 1
# - E_tot: -7.26 eV per atom

***

(17)
# MoN2 (PBE, relaxed)
data_MoN2
_cell_length_a 2.9906
_cell_length_b 2.9906
_cell_length_c 13.8495
_cell_angle_alpha 90.00
_cell_angle_beta 90.00
_cell_angle_gamma 120.00
_symmetry_space_group_name_H-M 'R 3 m'
_symmetry_Int_Tables_number 160
_symmetry_space_group_name_Hall 'R 3 -2"'
loop_
_atom_site_label
_atom_site_fract_x
_atom_site_fract_y
_atom_site_fract_z
_atom_site_occupancy
Mo1 0.0000 0.0000 0.0000 1
N1 0.0000 0.0000 0.5871 1
N2 0.0000 0.0000 0.7461 1
# - E_tot: -8.68 eV per atom

***

(18)
# NaPrBeSe3 (PBE, relaxed)
data_NaPrBeSe3
_cell_length_a 4.057
_cell_length_b 13.342
_cell_length_c 11.386
_cell_angle_alpha 90.00
_cell_angle_beta 90.00
_cell_angle_gamma 90.00
_symmetry_space_group_name_H-M 'C m c m'
_symmetry_Int_Tables_number 63
_symmetry_space_group_name_Hall '-C 2c 2'
loop_
_atom_site_label
_atom_site_fract_x
_atom_site_fract_y
_atom_site_fract_z
_atom_site_occupancy
Na1 0.000 0.247 0.250 1
Pr1 0.000 0.000 0.000 1
Be1 0.000 0.462 0.750 1
Se1 0.000 0.069 0.750 1
Se2 0.000 0.362 0.593 1
# - E_tot: -4.67 eV per atom

***

(19)
# ErMgCd (PBE, relaxed)
data_ErMgCd
_cell_length_a 6.881
_cell_length_b 6.881
_cell_length_c 6.881
_cell_angle_alpha 90.00
_cell_angle_beta 90.00
_cell_angle_gamma 90.00
_symmetry_space_group_name_H-M 'F -4 3 m'
_symmetry_Int_Tables_number 216
_symmetry_space_group_name_Hall 'F -4 2 3'
loop_
_atom_site_label
_atom_site_fract_x
_atom_site_fract_y
_atom_site_fract_z
_atom_site_occupancy
Er1 0.000 0.000 0.000 1
Mg1 0.250 0.250 0.750 1
Cd1 0.000 0.000 0.500 1
# - E_tot: -2.14 eV per atom

***

(20)
# ZrS4I2Br4 (PBE, relaxed)
data_ZrS4I2Br4
_cell_length_a 7.605
_cell_length_b 7.698
_cell_length_c 8.331
_cell_angle_alpha 90.93
_cell_angle_beta 115.28
_cell_angle_gamma 118.11
_symmetry_space_group_name_H-M 'P -1'
_symmetry_Int_Tables_number 2
loop_
_symmetry_equiv_pos_as_xyz
'x,y,z'
'-x,-y,-z'
loop_
_atom_site_label
_atom_site_fract_x
_atom_site_fract_y
_atom_site_fract_z
_atom_site_occupancy
Zr1 0.000 0.000 0.000 1
S1 0.006 0.554 0.673 1
S2 0.099 0.712 0.497 1
I1 0.374 0.402 0.226 1
Br1 0.199 0.027 0.799 1
Br2 0.231 0.841 0.212 1
# - E_tot: -3.67 eV per atom